PBE BaZn2Fe, relaxed; E_tot = -0.1020 hartree per atom; energy relative to the elements = 1.83 eV per formula unit; space group = Fm-3m
1.0
4.665 -1.508 1.397
0.690 -4.646 1.982
2.432 -3.583 -2.689
Zn Ba Fe
2 1 1
direct
0.250 0.250 0.250
0.750 0.750 0.750
0.500 0.500 0.500
0.000 0.000 0.000